No. 1
VASP calculation (PBE) on a relaxed structure of PaGa4Tc.

Output
**Space-group type**: Pmma (51)
**ΔH_f (0 K)**: -0.3374 eV/atom
**Uncorrected energy**: -68.0 eV per cell

Structure (CIF):
```
data_PaGa4Tc
_symmetry_space_group_name_H-M 'P 1'
_symmetry_Int_Tables_number 1
_cell_length_a 7.5621
_cell_length_b 4.2443
_cell_length_c 6.8109
_cell_angle_alpha 90.00
_cell_angle_beta 90.00
_cell_angle_gamma 90.00
loop_
_symmetry_equiv_pos_as_xyz
'x,y,z'
loop_
_atom_site_label
_atom_site_type_symbol
_atom_site_fract_x
_atom_site_fract_y
_atom_site_fract_z
_atom_site_occupancy
Pa1 Pa 0.2500 0.0000 0.1297 1
Pa2 Pa 0.7500 0.0000 0.8703 1
Ga1 Ga 0.0000 0.0000 0.5000 1
Ga2 Ga 0.0586 0.5000 0.8215 1
Ga3 Ga 0.2500 0.5000 0.4573 1
Ga4 Ga 0.4414 0.5000 0.8215 1
Ga5 Ga 0.5000 0.0000 0.5000 1
Ga6 Ga 0.5586 0.5000 0.1785 1
Ga7 Ga 0.7500 0.5000 0.5427 1
Ga8 Ga 0.9414 0.5000 0.1785 1
Tc1 Tc 0.2500 0.0000 0.7306 1
Tc2 Tc 0.7500 0.0000 0.2694 1
```

No. 2
VASP calculation (PBE) on a relaxed structure of PaGa2Tc.

Output
**Space-group type**: P4/mmm (123)
**ΔH_f (0 K)**: -0.2039 eV/atom
**Uncorrected energy**: -26.7 eV per cell
**Distance to the lowest polymorph of the same formula**: 241 meV/atom

Structure (CIF):
```
data_PaGa2Tc
_symmetry_space_group_name_H-M 'P 1'
_symmetry_Int_Tables_number 1
_cell_length_a 3.2683
_cell_length_b 3.2683
_cell_length_c 6.6757
_cell_angle_alpha 90.00
_cell_angle_beta 90.00
_cell_angle_gamma 90.00
loop_
_symmetry_equiv_pos_as_xyz
'x,y,z'
loop_
_atom_site_label
_atom_site_type_symbol
_atom_site_fract_x
_atom_site_fract_y
_atom_site_fract_z
_atom_site_occupancy
Pa1 Pa 0.0000 0.0000 0.0000 1
Ga1 Ga 0.5000 0.5000 0.3024 1
Ga2 Ga 0.5000 0.5000 0.6976 1
Tc1 Tc 0.0000 0.0000 0.5000 1
```

No. 3
VASP calculation (PBE) on a relaxed structure of Pa3Ga4Tc4.

Output
**Space-group type**: Immm (71)
**ΔH_f (0 K)**: -0.2370 eV/atom
**Uncorrected energy**: -84.7 eV per cell

Structure (CIF):
```
data_Pa3Ga4Tc4
_symmetry_space_group_name_H-M 'P 1'
_symmetry_Int_Tables_number 1
_cell_length_a 8.5726
_cell_length_b 8.5726
_cell_length_c 8.5726
_cell_angle_alpha 157.11
_cell_angle_beta 122.12
_cell_angle_gamma 63.07
loop_
_symmetry_equiv_pos_as_xyz
'x,y,z'
loop_
_atom_site_label
_atom_site_type_symbol
_atom_site_fract_x
_atom_site_fract_y
_atom_site_fract_z
_atom_site_occupancy
Pa1 Pa 0.0000 0.0000 0.0000 1
Pa2 Pa 0.3847 0.8847 0.5000 1
Pa3 Pa 0.6153 0.1153 0.5000 1
Ga1 Ga 0.0315 0.3235 0.7080 1
Ga2 Ga 0.3845 0.6765 0.7080 1
Ga3 Ga 0.6155 0.3235 0.2920 1
Ga4 Ga 0.9685 0.6765 0.2920 1
Tc1 Tc 0.2366 0.2366 0.0000 1
Tc2 Tc 0.2534 0.5000 0.7534 1
Tc3 Tc 0.7466 0.5000 0.2466 1
Tc4 Tc 0.7634 0.7634 0.0000 1
```

No. 4
VASP calculation (PBE) on a relaxed structure of PaGaTc.

Output
**Space-group type**: P3m1 (156)
**ΔH_f (0 K)**: -0.0357 eV/atom
**Uncorrected energy**: -23.0 eV per cell
**Distance to the lowest polymorph of the same formula**: 414 meV/atom

Structure (CIF):
```
data_PaGaTc
_symmetry_space_group_name_H-M 'P 1'
_symmetry_Int_Tables_number 1
_cell_length_a 4.0138
_cell_length_b 4.0138
_cell_length_c 4.4420
_cell_angle_alpha 90.00
_cell_angle_beta 90.00
_cell_angle_gamma 120.00
loop_
_symmetry_equiv_pos_as_xyz
'x,y,z'
loop_
_atom_site_label
_atom_site_type_symbol
_atom_site_fract_x
_atom_site_fract_y
_atom_site_fract_z
_atom_site_occupancy
Pa1 Pa 0.0000 0.0000 0.0000 1
Ga1 Ga 0.3333 0.6667 0.5482 1
Tc1 Tc 0.6667 0.3333 0.3141 1
```

No. 5
VASP calculation (PBE) on a relaxed structure of Pa2Ga2Tc3.

Output
**Space-group type**: C2/m (12)
**ΔH_f (0 K)**: -0.2546 eV/atom
**Uncorrected energy**: -57.9 eV per cell

Structure (CIF):
```
data_Pa2Ga2Tc3
_symmetry_space_group_name_H-M 'P 1'
_symmetry_Int_Tables_number 1
_cell_length_a 5.3694
_cell_length_b 5.3694
_cell_length_c 6.2511
_cell_angle_alpha 100.46
_cell_angle_beta 100.46
_cell_angle_gamma 47.28
loop_
_symmetry_equiv_pos_as_xyz
'x,y,z'
loop_
_atom_site_label
_atom_site_type_symbol
_atom_site_fract_x
_atom_site_fract_y
_atom_site_fract_z
_atom_site_occupancy
Pa1 Pa 0.1293 0.1293 0.3134 1
Pa2 Pa 0.8707 0.8707 0.6866 1
Ga1 Ga 0.3972 0.3972 0.0878 1
Ga2 Ga 0.6028 0.6028 0.9122 1
Tc1 Tc 0.1848 0.1848 0.7719 1
Tc2 Tc 0.5000 0.5000 0.5000 1
Tc3 Tc 0.8152 0.8152 0.2281 1
```

No. 6
VASP calculation (PBE) on a relaxed structure of Pa4Ga6Tc7.

Output
**Space-group type**: Im-3m (229)
**ΔH_f (0 K)**: -0.3551 eV/atom
**Uncorrected energy**: -134.7 eV per cell

Structure (CIF):
```
data_Pa4Ga6Tc7
_symmetry_space_group_name_H-M 'P 1'
_symmetry_Int_Tables_number 1
_cell_length_a 7.3031
_cell_length_b 7.3031
_cell_length_c 7.3031
_cell_angle_alpha 109.47
_cell_angle_beta 109.47
_cell_angle_gamma 109.47
loop_
_symmetry_equiv_pos_as_xyz
'x,y,z'
loop_
_atom_site_label
_atom_site_type_symbol
_atom_site_fract_x
_atom_site_fract_y
_atom_site_fract_z
_atom_site_occupancy
Pa1 Pa 0.0000 0.0000 0.5000 1
Pa2 Pa 0.0000 0.5000 0.0000 1
Pa3 Pa 0.5000 0.0000 0.0000 1
Pa4 Pa 0.5000 0.5000 0.5000 1
Ga1 Ga 0.0000 0.3071 0.3071 1
Ga2 Ga 0.0000 0.6929 0.6929 1
Ga3 Ga 0.3071 0.0000 0.3071 1
Ga4 Ga 0.3071 0.3071 0.0000 1
Ga5 Ga 0.6929 0.0000 0.6929 1
Ga6 Ga 0.6929 0.6929 0.0000 1
Tc1 Tc 0.0000 0.0000 0.0000 1
Tc2 Tc 0.2500 0.5000 0.7500 1
Tc3 Tc 0.2500 0.7500 0.5000 1
Tc4 Tc 0.5000 0.2500 0.7500 1
Tc5 Tc 0.5000 0.7500 0.2500 1
Tc6 Tc 0.7500 0.2500 0.5000 1
Tc7 Tc 0.7500 0.5000 0.2500 1
```